Here is a relaxed NaWF3 crystal from Alexandria. Energies are from PBE with a Hubbard U.

Unit cell a=4.0875 b=4.0875 c=4.0875 alpha=90.00 beta=90.00 gamma=90.00
Closest atoms and distances in Å follow each position.
Sites, in units of the cell vectors:
Na 0.0000 0.0000 0.0000  6 F 2.04
W 0.5000 0.5000 0.5000  12 F 2.89
F 0.0000 0.0000 0.5000  2 Na 2.04
F 0.0000 0.5000 0.0000  2 Na 2.04
F 0.5000 0.0000 0.0000  2 Na 2.04

Electronic total energy, eV per cell: -20.262
DOS at the Fermi energy, states/eV per cell: 5.33
V, Å³ per cell: 68.29